No. 1
Here is a relaxed structure of Gd2YFe8Ni from OQMD. Energies are from PBE-GGA.

Output
As for the space-group type: R-3m. Its formation energy is -0.08 eV/atom.

abc: 8.6671 8.6671 8.6671
angles: 33.88 33.88 33.88
Fractional positions:
Gd  0.1416  0.1416  0.1416
Fe  0.9200  0.4190  0.4190
Fe  0.5810  0.5810  0.0800
Gd  0.8584  0.8584  0.8584
Fe  0.5810  0.0800  0.5810
Fe  0.0800  0.5810  0.5810
Fe  0.3330  0.3330  0.3330
Fe  0.6670  0.6670  0.6670
Y  0.0000  0.0000  0.0000
Ni  0.5000  0.5000  0.5000
Fe  0.4190  0.9200  0.4190
Fe  0.4190  0.4190  0.9200

---

No. 2
Here is a relaxed structure of Gd2YFe7Ni2 from OQMD. Energies are from PBE-GGA.

Output
As for the space-group type: R-3m. Its formation energy is -0.10 eV/atom.

abc: 8.7664 8.7664 8.7664
angles: 33.12 33.12 33.12
Fractional positions:
Fe  0.4193  0.4193  0.9167
Fe  0.5807  0.0833  0.5807
Gd  0.8586  0.8586  0.8586
Fe  0.5000  0.5000  0.5000
Ni  0.3325  0.3325  0.3325
Gd  0.1414  0.1414  0.1414
Fe  0.5807  0.5807  0.0833
Fe  0.9167  0.4193  0.4193
Fe  0.0833  0.5807  0.5807
Ni  0.6675  0.6675  0.6675
Fe  0.4193  0.9167  0.4193
Y  0.0000  0.0000  0.0000

---

No. 3
Here is a relaxed structure of GdY2Fe8Ni from OQMD. Energies are from PBE-GGA.

Output
As for the space-group type: R-3m. Its formation energy is -0.09 eV/atom.

abc: 8.6655 8.6655 8.6655
angles: 33.90 33.90 33.90
Fractional positions:
Fe  0.5816  0.0801  0.5816
Fe  0.0801  0.5816  0.5816
Fe  0.4184  0.4184  0.9199
Fe  0.6670  0.6670  0.6670
Fe  0.9199  0.4184  0.4184
Fe  0.5816  0.5816  0.0801
Ni  0.5000  0.5000  0.5000
Gd  0.0000  0.0000  0.0000
Fe  0.3330  0.3330  0.3330
Fe  0.4184  0.9199  0.4184
Y  0.8582  0.8582  0.8582
Y  0.1418  0.1418  0.1418

---

No. 4
Here is a relaxed structure of Gd2YFe2Ni7 from OQMD. Energies are from PBE-GGA.

Output
As for the space-group type: R-3m. Its formation energy is -0.32 eV/atom.

abc: 8.6219 8.6219 8.6219
angles: 33.63 33.63 33.63
Fractional positions:
Gd  0.8613  0.8613  0.8613
Ni  0.5000  0.5000  0.5000
Ni  0.4198  0.9181  0.4198
Fe  0.6674  0.6674  0.6674
Gd  0.1387  0.1387  0.1387
Fe  0.3326  0.3326  0.3326
Ni  0.5802  0.5802  0.0819
Ni  0.9181  0.4198  0.4198
Ni  0.4198  0.4198  0.9181
Ni  0.0819  0.5802  0.5802
Ni  0.5802  0.0819  0.5802
Y  0.0000  0.0000  0.0000

---

No. 5
Here is a relaxed structure of GdNpFe from OQMD. Energies are from PBE-GGA.

Output
As for the space-group type: F-43m. The energy above the most stable polymorph in this dataset comes out at 0 meV per atom. Its formation energy is 0.49 eV/atom.

abc: 4.4786 4.4786 4.4786
angles: 60.00 60.00 60.00
Fractional positions:
Fe  0.0000  0.0000  0.0000
Gd  0.2500  0.2500  0.2500
Np  0.7500  0.7500  0.7500

---

No. 6
Here is a relaxed structure of GdFeOs from OQMD. Energies are from PBE-GGA.

Output
As for the space-group type: F-43m. The energy above the most stable polymorph in this dataset comes out at 0 meV per atom. Its formation energy is 0.48 eV/atom.

abc: 4.3438 4.3438 4.3438
angles: 60.00 60.00 60.00
Fractional positions:
Fe  0.0000  0.0000  0.0000
Os  0.7500  0.7500  0.7500
Gd  0.2500  0.2500  0.2500

---

No. 7
Here is a relaxed structure of GdFeSi2Os from OQMD. Energies are from PBE-GGA.

Output
As for the space-group type: I-4m2.

abc: 5.6606 5.6606 5.6606
angles: 138.03 138.03 60.86
Fractional positions:
Si  0.3710  0.3710  0.0000
Os  0.7500  0.2500  0.5000
Si  0.6290  0.6290  0.0000
Gd  0.0000  0.0000  0.0000
Fe  0.2500  0.7500  0.5000

---

No. 8
Here is a relaxed structure of Gd2FeSi2Os from OQMD. Energies are from PBE-GGA.

Output
As for the space-group type: P-4m2.

abc: 4.1080 4.1080 6.6929
angles: 90.00 90.00 90.00
Fractional positions:
Si  0.5000  0.0000  0.8151
Os  0.5000  0.5000  0.0000
Fe  0.0000  0.0000  0.0000
Gd  0.5000  0.0000  0.3219
Gd  0.0000  0.5000  0.6781
Si  0.0000  0.5000  0.1849

---

No. 9
Here is a relaxed structure of GdFe4P12 from OQMD. Energies are from PBE-GGA.

Output
As for the space-group type: Im-3.

abc: 6.7280 6.7280 6.7280
angles: 109.47 109.47 109.47
Fractional positions:
P  0.6478  0.1511  0.7988
Fe  0.0000  0.0000  0.5000
P  0.7988  0.6478  0.1511
P  0.8489  0.2012  0.3522
P  0.4967  0.6478  0.8489
P  0.5033  0.3522  0.1511
Fe  0.5000  0.0000  0.0000
P  0.1511  0.5033  0.3522
P  0.3522  0.8489  0.2012
Fe  0.0000  0.5000  0.0000
Fe  0.5000  0.5000  0.5000
P  0.2012  0.3522  0.8489
P  0.1511  0.7988  0.6478
P  0.6478  0.8489  0.4967
P  0.3522  0.1511  0.5033
Gd  0.0000  0.0000  0.0000
P  0.8489  0.4967  0.6478

---

No. 10
Here is a relaxed structure of GdFeP2Pd from OQMD. Energies are from PBE-GGA.

Output
As for the space-group type: I-4m2.

abc: 5.6475 5.6475 5.6475
angles: 139.21 139.21 59.06
Fractional positions:
Gd  0.7500  0.2500  0.5000
P  0.1337  0.6337  0.5000
P  0.3663  0.8663  0.5000
Pd  0.5000  0.5000  0.0000
Fe  0.0000  0.0000  0.0000

---

No. 11
Here is a relaxed structure of GdFe2SiP from OQMD. Energies are from PBE-GGA.

Output
As for the space-group type: I4mm.

abc: 5.4975 5.4975 5.4975
angles: 138.55 138.55 60.06
Fractional positions:
Si  0.6317  0.6317  0.0000
P  0.3636  0.3636  0.0000
Gd  0.9983  0.9983  0.0000
Fe  0.2532  0.7532  0.5000
Fe  0.7532  0.2532  0.5000

---

No. 12
Here is a relaxed structure of GdPaFe from OQMD. Energies are from PBE-GGA.

Output
As for the space-group type: F-43m. The energy above the most stable polymorph in this dataset comes out at 0 meV per atom. Its formation energy is 0.30 eV/atom.

abc: 4.6136 4.6136 4.6136
angles: 60.00 60.00 60.00
Fractional positions:
Gd  0.2500  0.2500  0.2500
Fe  0.0000  0.0000  0.0000
Pa  0.7500  0.7500  0.7500

---

No. 13
Here is a relaxed structure of GdYFe2Pb from OQMD. Energies are from PBE-GGA.

Output
As for the space-group type: Amm2.

abc: 3.8565 7.4374 7.4374
angles: 30.47 90.00 90.00
Fractional positions:
Pb  0.5000  0.9993  0.9993
Y  0.0000  0.3634  0.3634
Fe  0.5000  0.2063  0.2063
Fe  0.5000  0.7936  0.7936
Gd  0.0000  0.6374  0.6374

---

No. 14
Here is a relaxed structure of GdFe3Pd from OQMD. Energies are from PBE-GGA.

Output
As for the space-group type: Cmcm. Its formation energy is 0.12 eV/atom.

abc: 7.3501 7.3501 5.6531
angles: 90.00 90.00 148.49
Fractional positions:
Fe  0.6962  0.3038  0.4892
Fe  0.8318  0.1682  0.7500
Pd  0.8709  0.1291  0.2500
Fe  0.6962  0.3038  0.0108
Gd  0.4803  0.5197  0.7500
Fe  0.3038  0.6962  0.9892
Gd  0.5197  0.4803  0.2500
Pd  0.1291  0.8709  0.7500
Fe  0.1682  0.8318  0.2500
Fe  0.3038  0.6962  0.5108

---

No. 15
Here is a relaxed structure of GdFePd from OQMD. Energies are from PBE-GGA.

Output
As for the space-group type: F-43m. The energy above the most stable polymorph in this dataset comes out at 0 meV per atom. Its formation energy is 0.02 eV/atom.

abc: 4.4745 4.4745 4.4745
angles: 60.00 60.00 60.00
Fractional positions:
Fe  0.5000  0.5000  0.5000
Gd  0.0000  0.0000  0.0000
Pd  0.2500  0.2500  0.2500

---

No. 16
Here is a relaxed structure of PrGdFe from OQMD. Energies are from PBE-GGA.

Output
As for the space-group type: F-43m. The energy above the most stable polymorph in this dataset comes out at 0 meV per atom. Its formation energy is 0.27 eV/atom.

abc: 4.7859 4.7859 4.7859
angles: 60.00 60.00 60.00
Fractional positions:
Pr  0.7500  0.7500  0.7500
Gd  0.2500  0.2500  0.2500
Fe  0.0000  0.0000  0.0000

---

No. 17
Here is a relaxed structure of GdFePt from OQMD. Energies are from PBE-GGA.

Output
As for the space-group type: F-43m. The energy above the most stable polymorph in this dataset comes out at 0 meV per atom. Its formation energy is -0.26 eV/atom.

abc: 4.5611 4.5611 4.5611
angles: 60.00 60.00 60.00
Fractional positions:
Gd  0.7500  0.7500  0.7500
Fe  0.2500  0.2500  0.2500
Pt  0.0000  0.0000  0.0000

---

No. 18
Here is a relaxed structure of Gd2FePt2 from OQMD. Energies are from PBE-GGA.

Output
As for the space-group type: Pbam. Its formation energy is -0.70 eV/atom.

abc: 7.0569 7.4722 4.0063
angles: 90.00 90.00 90.00
Fractional positions:
Pt  0.6259  0.1495  0.0000
Gd  0.8074  0.3527  0.5000
Gd  0.1926  0.6473  0.5000
Pt  0.8741  0.6495  0.0000
Fe  0.0000  0.0000  0.0000
Pt  0.3741  0.8505  0.0000
Gd  0.3074  0.1473  0.5000
Gd  0.6926  0.8527  0.5000
Pt  0.1259  0.3505  0.0000
Fe  0.5000  0.5000  0.0000

---

No. 19
Here is a relaxed structure of Gd2FeSi4Pt from OQMD. Energies are from PBE-GGA.

Output
As for the space-group type: Amm2.

abc: 4.1059 8.5762 8.5762
angles: 27.73 90.00 90.00
Fractional positions:
Si  0.0000  0.4546  0.4546
Si  0.0000  0.7588  0.7588
Pt  0.5000  0.6755  0.6755
Gd  0.0000  0.1031  0.1031
Gd  0.5000  0.8953  0.8953
Si  0.5000  0.2596  0.2596
Fe  0.0000  0.3204  0.3204
Si  0.5000  0.5328  0.5328

---

No. 20
Here is a relaxed structure of GdFeRe from OQMD. Energies are from PBE-GGA.

Output
As for the space-group type: F-43m. Its formation energy is 0.66 eV/atom.

abc: 4.3264 4.3264 4.3264
angles: 60.00 60.00 60.00
Fractional positions:
Fe  0.0000  0.0000  0.0000
Gd  0.2500  0.2500  0.2500
Re  0.7500  0.7500  0.7500

---

No. 21
Here is a relaxed structure of Gd6FeS2 from OQMD. Energies are from PBE-GGA.

Output
As for the space-group type: P-62m.

abc: 7.9666 7.9666 3.8086
angles: 90.00 90.00 120.00
Fractional positions:
Gd  0.4156  0.4156  0.0000
S  0.6667  0.3333  0.5000
Gd  0.0000  0.2452  0.5000
S  0.3333  0.6667  0.5000
Gd  0.0000  0.5844  0.0000
Gd  0.2452  0.0000  0.5000
Fe  0.0000  0.0000  0.0000
Gd  0.7548  0.7548  0.5000
Gd  0.5844  0.0000  0.0000

---

No. 22
Here is a relaxed structure of GdFeSb3 from OQMD. Energies are from PBE-GGA.

Output
As for the space-group type: Pbcm.

abc: 12.4865 6.1523 12.0604
angles: 90.00 90.00 90.00
Fractional positions:
Gd  0.7009  0.2500  0.0000
Sb  0.0579  0.3860  0.7500
Sb  0.7772  0.7500  0.0000
Sb  0.7805  0.2660  0.7500
Sb  0.9421  0.6140  0.2500
Sb  0.9717  0.2500  0.5000
Sb  0.0579  0.1140  0.2500
Sb  0.9717  0.2500  0.0000
Sb  0.0283  0.7500  0.0000
Sb  0.2195  0.7340  0.2500
Fe  0.1028  0.0364  0.6384
Sb  0.2228  0.2500  0.0000
Sb  0.5031  0.5138  0.8760
Sb  0.5031  0.9862  0.1240
Sb  0.4969  0.4862  0.1240
Sb  0.4969  0.0138  0.8760
Fe  0.8972  0.9636  0.3617
Sb  0.2228  0.2500  0.5000
Sb  0.4969  0.0138  0.6240
Fe  0.8972  0.9636  0.1384
Fe  0.8972  0.5364  0.6384
Gd  0.6952  0.7206  0.2500
Gd  0.3048  0.2206  0.2500
Gd  0.6952  0.7794  0.7500
Fe  0.1028  0.0364  0.8616
Fe  0.1028  0.4636  0.1384
Sb  0.9421  0.8860  0.7500
Fe  0.1028  0.4636  0.3617
Sb  0.5031  0.5138  0.6240
Sb  0.5031  0.9862  0.3760
Sb  0.2195  0.7660  0.7500
Gd  0.7009  0.2500  0.5000
Gd  0.2991  0.7500  0.5000
Fe  0.8972  0.5364  0.8616
Sb  0.7772  0.7500  0.5000
Gd  0.3048  0.2794  0.7500
Sb  0.4969  0.4862  0.3760
Sb  0.0283  0.7500  0.5000
Sb  0.7805  0.2340  0.2500
Gd  0.2991  0.7500  0.0000

---

No. 23
Here is a relaxed structure of Gd6FeSe2 from OQMD. Energies are from PBE-GGA.

Output
As for the space-group type: P-62m.

abc: 8.1571 8.1571 3.8598
angles: 90.00 90.00 120.00
Fractional positions:
Gd  0.5894  0.0000  0.0000
Gd  0.4106  0.4106  0.0000
Gd  0.0000  0.2408  0.5000
Fe  0.0000  0.0000  0.0000
Gd  0.2408  0.0000  0.5000
Se  0.6667  0.3333  0.5000
Gd  0.7592  0.7592  0.5000
Se  0.3333  0.6667  0.5000
Gd  0.0000  0.5894  0.0000

---

No. 24
Here is a relaxed structure of GdFeSi3 from OQMD. Energies are from PBE-GGA.

Output
As for the space-group type: Cmmm.

abc: 10.7105 10.7105 4.0214
angles: 90.00 90.00 158.61
Fractional positions:
Fe  0.6073  0.3927  0.0000
Si  0.5570  0.4430  0.5000
Gd  0.1693  0.8307  0.5000
Si  0.7147  0.2853  0.0000
Fe  0.3927  0.6073  0.0000
Si  0.4430  0.5570  0.5000
Si  0.9429  0.0571  0.0000
Si  0.0571  0.9429  0.0000
Si  0.2853  0.7147  0.0000
Gd  0.8307  0.1693  0.5000

---

Number 1: M_tot 16.80 μB per formula unit, calculated total energy -7.40 eV per atom. Number 2: M_tot 14.39 μB per formula unit, calculated total energy -7.19 eV per atom. Number 3: M_tot 16.78 μB per formula unit, calculated total energy -7.56 eV per atom. Number 4: M_tot 5.98 μB per formula unit, calculated total energy -6.27 eV per atom. Number 5: M_tot 3.52 μB per formula unit, calculated total energy -8.09 eV per atom. Number 6: M_tot 3.00 μB per formula unit, calculated total energy -7.58 eV per atom. Number 7: M_tot 0.60 μB per formula unit, calculated total energy -7.69 eV per atom. Number 8: M_tot 0.49 μB per formula unit, calculated total energy -7.25 eV per atom. Number 9: M_tot 0.02 μB per formula unit, calculated total energy -6.64 eV per atom. Number 10: M_tot 1.62 μB per formula unit, calculated total energy -6.65 eV per atom. Number 11: M_tot 0.01 μB per formula unit, calculated total energy -7.30 eV per atom. Number 12: M_tot 0.83 μB per formula unit, calculated total energy -7.19 eV per atom. Number 13: M_tot 3.07 μB per formula unit, calculated total energy -6.48 eV per atom. Number 14: M_tot 7.04 μB per formula unit, calculated total energy -6.83 eV per atom. Number 15: M_tot 2.69 μB per formula unit, calculated total energy -6.02 eV per atom. Number 16: M_tot 0.37 μB per formula unit, calculated total energy -5.65 eV per atom. Number 17: M_tot 3.02 μB per formula unit, calculated total energy -6.60 eV per atom. Number 18: M_tot 2.84 μB per formula unit, calculated total energy -6.64 eV per atom. Number 19: M_tot 0.01 μB per formula unit, calculated total energy -6.48 eV per atom. Number 20: M_tot 0.01 μB per formula unit, calculated total energy -7.80 eV per atom. Number 21: M_tot 0.00 μB per formula unit, calculated total energy -5.64 eV per atom. Number 22: M_tot 0.23 μB per formula unit, calculated total energy -5.54 eV per atom. Number 23: M_tot 0.01 μB per formula unit, calculated total energy -5.50 eV per atom. Number 24: M_tot 0.00 μB per formula unit, calculated total energy -6.38 eV per atom.